Entry 1:
# PrSm7 (GGA-PBE, optimized geometry)
data_PrSm7
_chemical_formula_sum 'Pr4 Sm28'
_space_group_name_H-M_alt 'F m -3 m'
_space_group_IT_number 225
_space_group_name_Hall '-F 4 2 3'
_cell_length_a 10.284
_cell_length_b 10.284
_cell_length_c 10.284
_cell_angle_alpha 90.00
_cell_angle_beta 90.00
_cell_angle_gamma 90.00
loop_
_atom_site_label
_atom_site_fract_x
_atom_site_fract_y
_atom_site_fract_z
_atom_site_occupancy
Pr1 0.000 0.000 0.000 1
Sm1 0.000 0.000 0.500 1
Sm2 0.000 0.250 0.250 1
# - Crystal system: cubic
# - Energy relative to the elements: 0.010 eV/atom

***

Entry 2:
# Pr7Sm3 (GGA-PBE, optimized geometry)
data_Pr7Sm3
_chemical_formula_sum 'Pr14 Sm6'
_space_group_name_H-M_alt 'P 63 m c'
_space_group_IT_number 186
_space_group_name_Hall 'P 6c -2c'
_cell_length_a 11.3389
_cell_length_b 11.3389
_cell_length_c 6.4160
_cell_angle_alpha 90.00
_cell_angle_beta 90.00
_cell_angle_gamma 120.00
loop_
_atom_site_label
_atom_site_fract_x
_atom_site_fract_y
_atom_site_fract_z
_atom_site_occupancy
Pr1 0.0550 0.5275 0.0000 1
Pr2 0.1164 0.2328 0.1387 1
Pr3 0.3333 0.6667 0.2197 1
Sm1 0.2158 0.4316 0.6229 1
# - Energy above the lowest structure with this stoichiometry: 149 meV/atom
# - Crystal system: hexagonal
# - Energy relative to the elements: 0.160 eV/atom

***

Entry 3:
# PrSm3 (GGA-PBE, optimized geometry)
data_PrSm3
_chemical_formula_sum 'Pr4 Sm12'
_space_group_name_H-M_alt 'F m -3 m'
_space_group_IT_number 225
_space_group_name_Hall '-F 4 2 3'
_cell_length_a 8.202
_cell_length_b 8.202
_cell_length_c 8.202
_cell_angle_alpha 90.00
_cell_angle_beta 90.00
_cell_angle_gamma 90.00
loop_
_atom_site_label
_atom_site_fract_x
_atom_site_fract_y
_atom_site_fract_z
_atom_site_occupancy
Pr1 0.000 0.000 0.000 1
Sm1 0.000 0.000 0.500 1
Sm2 0.250 0.250 0.250 1
# - Energy above the lowest structure with this stoichiometry: 125 meV/atom
# - Crystal system: cubic
# - Energy relative to the elements: 0.139 eV/atom

***

Entry 4:
# PrSm4 (GGA-PBE, optimized geometry)
data_PrSm4
_chemical_formula_sum 'Pr3 Sm12'
_space_group_name_H-M_alt 'R -3 m'
_space_group_IT_number 166
_space_group_name_Hall '-R 3 2"'
_cell_length_a 3.6449
_cell_length_b 3.6449
_cell_length_c 44.5802
_cell_angle_alpha 90.00
_cell_angle_beta 90.00
_cell_angle_gamma 120.00
loop_
_atom_site_label
_atom_site_fract_x
_atom_site_fract_y
_atom_site_fract_z
_atom_site_occupancy
Pr1 0.0000 0.0000 0.0000 1
Sm1 0.0000 0.0000 0.1998 1
Sm2 0.0000 0.0000 0.4008 1
# - Energy above the lowest structure with this stoichiometry: 0 meV/atom
# - Crystal system: trigonal
# - Energy relative to the elements: 0.012 eV/atom

***

Entry 5:
# Pr4Sm (GGA-PBE, optimized geometry)
data_Pr4Sm
_chemical_formula_sum 'Pr4 Sm1'
_space_group_name_H-M_alt 'P m -3 m'
_space_group_IT_number 221
_space_group_name_Hall '-P 4 2 3'
_cell_length_a 5.905
_cell_length_b 5.905
_cell_length_c 5.905
_cell_angle_alpha 90.00
_cell_angle_beta 90.00
_cell_angle_gamma 90.00
loop_
_atom_site_label
_atom_site_fract_x
_atom_site_fract_y
_atom_site_fract_z
_atom_site_occupancy
Pr1 0.000 0.000 0.000 1
Pr2 0.000 0.500 0.500 1
Sm1 0.500 0.500 0.500 1
# - Energy above the lowest structure with this stoichiometry: 582 meV/atom
# - Crystal system: cubic
# - Energy relative to the elements: 0.591 eV/atom

***

Entry 6:
# PrSm3 (GGA-PBE, optimized geometry)
data_PrSm3
_chemical_formula_sum 'Pr2 Sm6'
_space_group_name_H-M_alt 'I m m 2'
_space_group_IT_number 44
_space_group_name_Hall 'I 2 -2'
_cell_length_a 3.683
_cell_length_b 11.814
_cell_length_c 6.378
_cell_angle_alpha 90.00
_cell_angle_beta 90.00
_cell_angle_gamma 90.00
loop_
_atom_site_label
_atom_site_fract_x
_atom_site_fract_y
_atom_site_fract_z
_atom_site_occupancy
Pr1 0.000 0.000 0.000 1
Sm1 0.000 0.249 0.331 1
Sm2 0.000 0.500 0.001 1
# - Energy above the lowest structure with this stoichiometry: 16 meV/atom
# - Crystal system: orthorhombic
# - Energy relative to the elements: 0.030 eV/atom

***

Entry 7:
# Pr3Sm8 (GGA-PBE, optimized geometry)
data_Pr3Sm8
_chemical_formula_sum 'Pr9 Sm24'
_space_group_name_H-M_alt 'R -3'
_space_group_IT_number 148
_space_group_name_Hall '-R 3'
_cell_length_a 9.9343
_cell_length_b 9.9343
_cell_length_c 13.3789
_cell_angle_alpha 90.00
_cell_angle_beta 90.00
_cell_angle_gamma 120.00
loop_
_atom_site_label
_atom_site_fract_x
_atom_site_fract_y
_atom_site_fract_z
_atom_site_occupancy
Pr1 0.0000 0.5000 0.0000 1
Sm1 0.0000 0.0000 0.3770 1
Sm2 0.0308 0.8080 0.1129 1
# - Energy above the lowest structure with this stoichiometry: 462 meV/atom
# - Crystal system: trigonal
# - Energy relative to the elements: 0.474 eV/atom

***

Entry 8:
# Pr2Sm5 (GGA-PBE, optimized geometry)
data_Pr2Sm5
_chemical_formula_sum 'Pr4 Sm10'
_space_group_name_H-M_alt 'C 1 2/m 1'
_space_group_IT_number 12
_space_group_name_Hall '-C 2y'
_cell_length_a 11.556
_cell_length_b 5.172
_cell_length_c 8.163
_cell_angle_alpha 90.00
_cell_angle_beta 98.07
_cell_angle_gamma 90.00
loop_
_atom_site_label
_atom_site_fract_x
_atom_site_fract_y
_atom_site_fract_z
_atom_site_occupancy
Pr1 0.214 0.000 0.144 1
Sm1 0.000 0.500 0.000 1
Sm2 0.072 0.000 0.712 1
Sm3 0.142 0.500 0.428 1
# - Energy above the lowest structure with this stoichiometry: 0 meV/atom
# - Crystal system: monoclinic
# - Energy relative to the elements: 0.014 eV/atom

***

Entry 9:
# Pr6Sm (GGA-PBE, optimized geometry)
data_Pr6Sm
_chemical_formula_sum 'Pr12 Sm2'
_space_group_name_H-M_alt 'I m -3 m'
_space_group_IT_number 229
_space_group_name_Hall '-I 4 2 3'
_cell_length_a 8.304
_cell_length_b 8.304
_cell_length_c 8.304
_cell_angle_alpha 90.00
_cell_angle_beta 90.00
_cell_angle_gamma 90.00
loop_
_atom_site_label
_atom_site_fract_x
_atom_site_fract_y
_atom_site_fract_z
_atom_site_occupancy
Pr1 0.000 0.250 0.500 1
Sm1 0.000 0.000 0.000 1
# - Energy above the lowest structure with this stoichiometry: 1048 meV/atom
# - Crystal system: cubic
# - Energy relative to the elements: 1.158 eV/atom

***

Entry 10:
# Pr2Sm5 (GGA-PBE, optimized geometry)
data_Pr2Sm5
_chemical_formula_sum 'Pr6 Sm15'
_space_group_name_H-M_alt 'R -3 m'
_space_group_IT_number 166
_space_group_name_Hall '-R 3 2"'
_cell_length_a 5.7810
_cell_length_b 5.7810
_cell_length_c 25.1179
_cell_angle_alpha 90.00
_cell_angle_beta 90.00
_cell_angle_gamma 120.00
loop_
_atom_site_label
_atom_site_fract_x
_atom_site_fract_y
_atom_site_fract_z
_atom_site_occupancy
Pr1 0.0000 0.0000 0.1355 1
Sm1 0.0000 0.0000 0.0000 1
Sm2 0.0000 0.0000 0.2731 1
Sm3 0.0000 0.0000 0.4142 1
# - Energy above the lowest structure with this stoichiometry: 114 meV/atom
# - Crystal system: trigonal
# - Energy relative to the elements: 0.128 eV/atom

***

Entry 11:
# Pr2SmSn (GGA-PBE, optimized geometry)
data_Pr2SmSn
_chemical_formula_sum 'Pr6 Sm3 Sn3'
_space_group_name_H-M_alt 'R -3 m'
_space_group_IT_number 166
_space_group_name_Hall '-R 3 2"'
_cell_length_a 3.6127
_cell_length_b 3.6127
_cell_length_c 37.0806
_cell_angle_alpha 90.00
_cell_angle_beta 90.00
_cell_angle_gamma 120.00
loop_
_atom_site_label
_atom_site_fract_x
_atom_site_fract_y
_atom_site_fract_z
_atom_site_occupancy
Pr1 0.0000 0.0000 0.0868 1
Sm1 0.0000 0.0000 0.5000 1
Sn1 0.0000 0.0000 0.0000 1
# - Energy above the lowest structure with this stoichiometry: 506 meV/atom
# - Crystal system: trigonal
# - Energy relative to the elements: 0.058 eV/atom

***

Entry 12:
# PrSm2Sn3 (GGA-PBE, optimized geometry)
data_PrSm2Sn3
_chemical_formula_sum 'Pr2 Sm4 Sn6'
_space_group_name_H-M_alt 'I m m m'
_space_group_IT_number 71
_space_group_name_Hall '-I 2 2'
_cell_length_a 4.511
_cell_length_b 6.370
_cell_length_c 13.498
_cell_angle_alpha 90.00
_cell_angle_beta 90.00
_cell_angle_gamma 90.00
loop_
_atom_site_label
_atom_site_fract_x
_atom_site_fract_y
_atom_site_fract_z
_atom_site_occupancy
Pr1 0.000 0.000 0.000 1
Sm1 0.000 0.000 0.335 1
Sn1 0.000 0.500 0.000 1
Sn2 0.000 0.500 0.330 1
# - Crystal system: orthorhombic
# - Energy relative to the elements: -0.551 eV/atom

***

Entry 13:
# PrSmSn (GGA-PBE, optimized geometry)
data_PrSmSn
_chemical_formula_sum 'Pr2 Sm2 Sn2'
_space_group_name_H-M_alt 'P 4/n m m'
_space_group_IT_number 129
_cell_length_a 4.667
_cell_length_b 4.667
_cell_length_c 8.790
_cell_angle_alpha 90.00
_cell_angle_beta 90.00
_cell_angle_gamma 90.00
loop_
_space_group_symop_operation_xyz
'x,y,z'
'-x,-y,-z'
'-y+1/2,x,z'
'y+1/2,-x,-z'
'-x+1/2,-y+1/2,z'
'x+1/2,y+1/2,-z'
'y,-x+1/2,z'
'-y,x+1/2,-z'
'x+1/2,-y,-z'
'-x+1/2,y,z'
'-y,-x,-z'
'y,x,z'
'-x,y+1/2,-z'
'x,-y+1/2,z'
'y+1/2,x+1/2,-z'
'-y+1/2,-x+1/2,z'
loop_
_atom_site_label
_atom_site_fract_x
_atom_site_fract_y
_atom_site_fract_z
_atom_site_occupancy
Pr1 0.250 0.250 0.150 1
Sm1 0.250 0.750 0.500 1
Sn1 0.250 0.250 0.775 1
# - Energy above the lowest structure with this stoichiometry: 12 meV/atom
# - Crystal system: tetragonal
# - Energy relative to the elements: -0.583 eV/atom

***

Entry 14:
# Pr6SmSn4 (GGA-PBE, optimized geometry)
data_Pr6SmSn4
_chemical_formula_sum 'Pr12 Sm2 Sn8'
_space_group_name_H-M_alt 'I -4 2 m'
_space_group_IT_number 121
_space_group_name_Hall 'I -4 2'
_cell_length_a 8.142
_cell_length_b 8.142
_cell_length_c 12.136
_cell_angle_alpha 90.00
_cell_angle_beta 90.00
_cell_angle_gamma 90.00
loop_
_atom_site_label
_atom_site_fract_x
_atom_site_fract_y
_atom_site_fract_z
_atom_site_occupancy
Pr1 0.000 0.500 0.000 1
Pr2 0.158 0.158 0.164 1
Sm1 0.000 0.000 0.500 1
Sn1 0.229 0.229 0.901 1
# - Crystal system: tetragonal
# - Energy relative to the elements: -0.375 eV/atom

***

Entry 15:
# Pr2Sm3Sn4 (GGA-PBE, optimized geometry)
data_Pr2Sm3Sn4
_chemical_formula_sum 'Pr4 Sm6 Sn8'
_space_group_name_H-M_alt 'P 1 21/c 1'
_space_group_IT_number 14
_space_group_name_Hall '-P 2ybc'
_cell_length_a 8.476
_cell_length_b 8.501
_cell_length_c 8.160
_cell_angle_alpha 90.00
_cell_angle_beta 110.08
_cell_angle_gamma 90.00
loop_
_atom_site_label
_atom_site_fract_x
_atom_site_fract_y
_atom_site_fract_z
_atom_site_occupancy
Pr1 0.193 0.179 0.066 1
Sm1 0.246 0.670 0.242 1
Sm2 0.500 0.000 0.500 1
Sn1 0.081 0.537 0.842 1
Sn2 0.487 0.133 0.865 1
# - Energy above the lowest structure with this stoichiometry: 0 meV/atom
# - Crystal system: monoclinic
# - Energy relative to the elements: -0.782 eV/atom

***

Entry 16:
# PrSmSn (GGA-PBE, optimized geometry)
data_PrSmSn
_chemical_formula_sum 'Pr2 Sm2 Sn2'
_space_group_name_H-M_alt 'I 4 m m'
_space_group_IT_number 107
_space_group_name_Hall 'I 4 -2'
_cell_length_a 4.203
_cell_length_b 4.203
_cell_length_c 10.040
_cell_angle_alpha 90.00
_cell_angle_beta 90.00
_cell_angle_gamma 90.00
loop_
_atom_site_label
_atom_site_fract_x
_atom_site_fract_y
_atom_site_fract_z
_atom_site_occupancy
Pr1 0.000 0.000 0.000 1
Sm1 0.000 0.000 0.689 1
Sn1 0.000 0.000 0.341 1
# - Energy above the lowest structure with this stoichiometry: 110 meV/atom
# - Crystal system: tetragonal
# - Energy relative to the elements: -0.485 eV/atom

***

Entry 17:
# Pr2Sm3Sn (GGA-PBE, optimized geometry)
data_Pr2Sm3Sn
_chemical_formula_sum 'Pr4 Sm6 Sn2'
_space_group_name_H-M_alt 'C m m m'
_space_group_IT_number 65
_space_group_name_Hall '-C 2 2'
_cell_length_a 4.955
_cell_length_b 15.607
_cell_length_c 4.942
_cell_angle_alpha 90.00
_cell_angle_beta 90.00
_cell_angle_gamma 90.00
loop_
_atom_site_label
_atom_site_fract_x
_atom_site_fract_y
_atom_site_fract_z
_atom_site_occupancy
Pr1 0.000 0.161 0.000 1
Sm1 0.000 0.000 0.500 1
Sm2 0.000 0.340 0.500 1
Sn1 0.000 0.500 0.000 1
# - Crystal system: orthorhombic
# - Energy relative to the elements: -0.254 eV/atom

***

Entry 18:
# PrSmSn2 (GGA-PBE, optimized geometry)
data_PrSmSn2
_chemical_formula_sum 'Pr1 Sm1 Sn2'
_space_group_name_H-M_alt 'P 4/m m m'
_space_group_IT_number 123
_space_group_name_Hall '-P 4 2'
_cell_length_a 3.542
_cell_length_b 3.542
_cell_length_c 9.086
_cell_angle_alpha 90.00
_cell_angle_beta 90.00
_cell_angle_gamma 90.00
loop_
_atom_site_label
_atom_site_fract_x
_atom_site_fract_y
_atom_site_fract_z
_atom_site_occupancy
Pr1 0.000 0.000 0.000 1
Sm1 0.000 0.000 0.500 1
Sn1 0.500 0.500 0.255 1
# - Crystal system: tetragonal
# - Energy relative to the elements: -0.670 eV/atom

***

Entry 19:
# Pr12SmSn3 (GGA-PBE, optimized geometry)
data_Pr12SmSn3
_chemical_formula_sum 'Pr12 Sm1 Sn3'
_space_group_name_H-M_alt 'P 4/m m m'
_space_group_IT_number 123
_space_group_name_Hall '-P 4 2'
_cell_length_a 5.020
_cell_length_b 5.020
_cell_length_c 20.469
_cell_angle_alpha 90.00
_cell_angle_beta 90.00
_cell_angle_gamma 90.00
loop_
_atom_site_label
_atom_site_fract_x
_atom_site_fract_y
_atom_site_fract_z
_atom_site_occupancy
Pr1 0.000 0.000 0.000 1
Pr2 0.000 0.000 0.242 1
Pr3 0.000 0.000 0.500 1
Pr4 0.000 0.500 0.121 1
Pr5 0.000 0.500 0.366 1
Sm1 0.500 0.500 0.500 1
Sn1 0.500 0.500 0.000 1
Sn2 0.500 0.500 0.244 1
# - Crystal system: tetragonal
# - Energy relative to the elements: -0.323 eV/atom

***

Entry 20:
# PrSmSn2 (GGA-PBE, optimized geometry)
data_PrSmSn2
_chemical_formula_sum 'Pr1 Sm1 Sn2'
_space_group_name_H-M_alt 'P 4/m m m'
_space_group_IT_number 123
_space_group_name_Hall '-P 4 2'
_cell_length_a 4.988
_cell_length_b 4.988
_cell_length_c 4.565
_cell_angle_alpha 90.00
_cell_angle_beta 90.00
_cell_angle_gamma 90.00
loop_
_atom_site_label
_atom_site_fract_x
_atom_site_fract_y
_atom_site_fract_z
_atom_site_occupancy
Pr1 0.000 0.000 0.000 1
Sm1 0.500 0.500 0.000 1
Sn1 0.000 0.500 0.500 1
# - Crystal system: tetragonal
# - Energy relative to the elements: -0.664 eV/atom

***

Table of total magnetic moment (μB/f.u.), in record order: 0.00 0.00 0.00 0.00 0.54 0.00 0.00 0.00 0.00 0.00 0.00 0.00 0.00 0.00 0.00 0.00 0.00 0.00 0.00 0.00
Table of uncorrected energy (eV/atom), in record order: -4.717 -4.601 -4.596 -4.720 -4.177 -4.704 -4.262 -4.722 -3.612 -4.609 -4.512 -4.922 -5.084 -4.867 -5.196 -4.986 -4.874 -5.047 -4.953 -5.040